This record from Alexandria describes an optimized crystal structure of VP2RuO. The functional is PBE with a Hubbard U.

a b c (Å): 4.7343 4.7343 3.5093
angles (deg): 90.00 90.00 90.00
Last column: nearest neighbours and their distance in Å.
Sites, in units of the cell vectors:
V1 0.0000 0.0000 0.0000  2 O 1.75
P1 0.0000 0.5000 0.0000  2 V 2.37
P2 0.5000 0.0000 0.0000  2 V 2.37
Ru1 0.5000 0.5000 0.5000  8 P 2.95
O1 0.0000 0.0000 0.5000  2 V 1.75

* V: 15.73 A^3/atom
* crystal system: tetragonal
* total energy: -30.82 eV per cell
* offset from the most stable computed form: 0 meV/atom